The following is a PBE-GGA calculation of crystalline GaNi6Mo at its relaxed geometry, from Alexandria via LeMat-Bulk.

## Properties
Size of the total moment   0.00 μB per formula unit
Crystal system   tetragonal
E_form   -0.184 eV/atom
Total DFT energy (no corrections)   -0.460 Ry/atom

Cell lengths 3.6130, 3.6130, 7.1851 Å; angles 90.00, 90.00, 90.00 degrees
Positions (direct):
Ga: 0.0000 0.0000 0.0000
Ni: 0.0000 0.5000 0.2513
Ni: 0.0000 0.5000 0.7487
Ni: 0.5000 0.0000 0.2513
Ni: 0.5000 0.0000 0.7487
Ni: 0.5000 0.5000 0.0000
Ni: 0.5000 0.5000 0.5000
Mo: 0.0000 0.0000 0.5000